[1]
4
Lattice="3.051 -0.005 0.000 -0.874 2.923 0.000 0.000 0.000 9.783" Properties=species:S:1:pos:R:3 comment="PBE Sb2MoAs, optimized geometry" mass_density_g_cm3=7.9 total_energy_ev_per_atom=-5.45 crystal_system=orthorhombic magnetic_moment_mub_per_fu=0.000 raw_formation_energy_mev_per_atom=482 pbc="T T T"
As 1.088 1.459 2.446
Mo 1.088 1.459 7.337
Sb 0.000 0.000 5.183
Sb 0.000 0.000 9.491

***

[2]
4
Lattice="9.440 -0.038 -0.023 8.876 3.214 -0.023 8.876 1.539 2.821" Properties=species:S:1:pos:R:3 comment="PBE Sb2MoAs, optimized geometry" mass_density_g_cm3=7.9 total_energy_ev_per_atom=-5.83 crystal_system=trigonal magnetic_moment_mub_per_fu=0.000 raw_formation_energy_mev_per_atom=102 pbc="T T T"
Sb 6.694 1.160 0.683
As 13.161 2.281 1.344
Mo 20.546 3.562 2.097
Sb 0.389 0.067 0.040

***

[3]
4
Lattice="-2.943 1.214 0.038 -1.089 -2.593 -1.492 -1.332 -3.446 6.960" Properties=species:S:1:pos:R:3 comment="PBE SbMo2As, optimized geometry" mass_density_g_cm3=8.1 de_polymorph_ev_per_atom=0.017 total_energy_ev_per_atom=-7.56 crystal_system=tetragonal magnetic_moment_mub_per_fu=0.000 raw_formation_energy_mev_per_atom=47 pbc="T T T"
As -3.120 -3.546 5.042
Sb -0.594 -1.536 3.101
Mo -0.028 -0.073 0.148
Mo -2.288 -1.393 0.695

***

[4]
4
Lattice="-2.552 3.332 -2.316 1.638 -0.950 -3.172 -2.969 -3.368 -1.574" Properties=species:S:1:pos:R:3 comment="PBE SbMoAs2, optimized geometry" mass_density_g_cm3=7.4 total_energy_ev_per_atom=-5.76 crystal_system=monoclinic magnetic_moment_mub_per_fu=0.268 raw_formation_energy_mev_per_atom=301 pbc="T T T"
Sb -2.275 -1.573 -4.717
As -0.140 -0.282 -0.252
Mo -1.609 0.586 -2.344
As -0.526 -1.877 -2.120

***

[5]
8
Lattice="-3.725 -0.358 1.882 -1.754 -1.019 -3.665 -1.073 -9.437 0.743" Properties=species:S:1:pos:R:3 comment="PBE SbMo2As, optimized geometry" mass_density_g_cm3=8.1 de_polymorph_ev_per_atom=0.476 total_energy_ev_per_atom=-7.10 crystal_system=tetragonal magnetic_moment_mub_per_fu=0.000 raw_formation_energy_mev_per_atom=505 pbc="T T T"
Sb 0.000 0.000 0.000
Mo -5.474 -8.210 -0.743
Mo -2.093 -3.066 -1.736
As -2.739 -0.688 -0.891
Mo -2.552 -2.685 0.771
Sb -3.768 -5.242 0.867
Mo -2.983 -7.666 -0.370
As -2.783 -5.572 -1.906

***

[6]
4
Lattice="3.430 0.000 0.000 0.000 4.901 0.000 0.000 0.000 4.901" Properties=species:S:1:pos:R:3 comment="PBE Sb2MoAs, optimized geometry" mass_density_g_cm3=8.4 total_energy_ev_per_atom=-5.38 crystal_system=tetragonal magnetic_moment_mub_per_fu=0.000 raw_formation_energy_mev_per_atom=549 pbc="T T T"
Mo 1.715 0.000 2.450
As 1.715 2.450 0.000
Sb 0.000 0.000 0.000
Sb 0.000 2.450 2.450

***

[7]
5
Lattice="5.188 0.000 0.000 0.000 5.188 0.000 0.000 0.000 5.188" Properties=species:S:1:pos:R:3 comment="PBE Sb3MoAs, optimized geometry" mass_density_g_cm3=6.4 de_polymorph_ev_per_atom=0.000 total_energy_ev_per_atom=-4.94 crystal_system=cubic magnetic_moment_mub_per_fu=0.000 raw_formation_energy_mev_per_atom=632 pbc="T T T"
Sb 0.000 0.000 2.594
Sb 0.000 2.594 0.000
As 2.594 2.594 2.594
Sb 2.594 0.000 0.000
Mo 0.000 0.000 0.000

***

[8]
5
Lattice="5.362 0.000 0.000 0.000 4.701 0.000 0.000 0.000 5.362" Properties=species:S:1:pos:R:3 comment="PBE ScSb2MoAs, optimized geometry" mass_density_g_cm3=5.6 total_energy_ev_per_atom=-4.85 crystal_system=tetragonal magnetic_moment_mub_per_fu=0.001 raw_formation_energy_mev_per_atom=1166 pbc="T T T"
Sc 0.000 0.000 0.000
Sb 2.681 0.000 0.000
Sb 0.000 0.000 2.681
Mo 0.000 2.350 0.000
As 2.681 2.350 2.681

***

[9]
5
Lattice="-0.208 1.664 -4.518 2.460 -3.851 -1.531 -4.490 -2.573 -0.741" Properties=species:S:1:pos:R:3 comment="PBE SbMoAsSe2, optimized geometry" mass_density_g_cm3=6.2 de_polymorph_ev_per_atom=0.000 total_energy_ev_per_atom=-4.94 crystal_system=tetragonal magnetic_moment_mub_per_fu=0.000 raw_formation_energy_mev_per_atom=376 pbc="T T T"
Se -0.104 0.832 -2.259
Se 1.230 -1.926 -0.766
As -2.245 -1.286 -0.370
Sb -1.119 -2.380 -3.395
Mo 0.000 0.000 0.000

***

[10]
5
Lattice="5.246 0.000 0.000 0.000 5.246 0.000 0.000 0.000 5.445" Properties=species:S:1:pos:R:3 comment="PBE Sb2TeMoAs, optimized geometry" mass_density_g_cm3=6.0 de_polymorph_ev_per_atom=0.549 total_energy_ev_per_atom=-4.16 crystal_system=tetragonal magnetic_moment_mub_per_fu=3.312 raw_formation_energy_mev_per_atom=1213 pbc="T T T"
As 0.000 0.000 0.000
Mo 2.623 2.623 2.723
Te 0.000 0.000 2.723
Sb 2.623 0.000 0.000
Sb 0.000 2.623 0.000

***

[11]
5
Lattice="5.443 0.000 0.000 0.000 5.443 0.000 0.000 0.000 5.202" Properties=species:S:1:pos:R:3 comment="PBE SbTe2MoAs, optimized geometry" mass_density_g_cm3=5.9 de_polymorph_ev_per_atom=0.485 total_energy_ev_per_atom=-4.02 crystal_system=tetragonal magnetic_moment_mub_per_fu=3.121 raw_formation_energy_mev_per_atom=1161 pbc="T T T"
As 0.000 0.000 0.000
Te 0.000 2.721 0.000
Sb 0.000 0.000 2.601
Te 2.721 0.000 0.000
Mo 2.721 2.721 2.601

***

[12]
5
Lattice="5.187 0.000 0.000 0.000 5.187 0.000 0.000 0.000 5.302" Properties=species:S:1:pos:R:3 comment="PBE SbTe2MoAs, optimized geometry" mass_density_g_cm3=6.4 de_polymorph_ev_per_atom=0.000 total_energy_ev_per_atom=-4.50 crystal_system=tetragonal magnetic_moment_mub_per_fu=0.000 raw_formation_energy_mev_per_atom=676 pbc="T T T"
Mo 0.000 0.000 0.000
Sb 0.000 0.000 2.651
Te 2.594 0.000 0.000
As 2.594 2.594 2.651
Te 0.000 2.594 0.000

***

[13]
5
Lattice="-2.166 4.221 2.228 1.808 -1.539 4.673 4.327 2.644 -0.803" Properties=species:S:1:pos:R:3 comment="PBE Sb2TeMoAs, optimized geometry" mass_density_g_cm3=6.4 de_polymorph_ev_per_atom=0.000 total_energy_ev_per_atom=-4.71 crystal_system=tetragonal magnetic_moment_mub_per_fu=0.000 raw_formation_energy_mev_per_atom=663 pbc="T T T"
Te 2.163 1.322 -0.402
Sb -1.083 2.110 1.114
Sb 0.904 -0.770 2.336
As 1.985 2.663 3.049
Mo 0.000 0.000 0.000

***

[14]
4
Lattice="8.559 -0.008 -0.005 7.994 3.056 -0.005 7.994 1.472 2.678" Properties=species:S:1:pos:R:3 comment="PBE ScMo2As, optimized geometry" mass_density_g_cm3=7.4 delta_e_f_ev_per_atom=0.16 total_energy_ev_per_atom=-8.00 crystal_system=trigonal magnetic_moment_mub_per_fu=0.000 pbc="T T T"
As 18.410 3.390 2.001
Mo 0.240 0.044 0.026
Mo 12.034 2.216 1.308
Sc 6.137 1.130 0.667

***

[15]
4
Lattice="4.324 0.000 0.000 0.000 3.247 0.043 0.000 1.525 4.901" Properties=species:S:1:pos:R:3 comment="PBE ScMo2As, optimized geometry" mass_density_g_cm3=7.6 delta_e_f_ev_per_atom=-0.21 total_energy_ev_per_atom=-8.37 crystal_system=monoclinic magnetic_moment_mub_per_fu=0.000 pbc="T T T"
Mo 2.162 0.996 0.746
Sc 0.000 2.561 2.851
As 2.162 4.175 3.559
Mo 0.000 2.672 0.302

***

[16]
4
Lattice="-1.493 2.791 5.862 1.337 -1.123 6.429 1.984 0.665 -6.325" Properties=species:S:1:pos:R:3 comment="PBE ScMoAs2, optimized geometry" mass_density_g_cm3=6.6 delta_e_f_ev_per_atom=-0.61 de_polymorph_ev_per_atom=0.000 total_energy_ev_per_atom=-7.23 crystal_system=orthorhombic magnetic_moment_mub_per_fu=0.019 pbc="T T T"
Mo -0.085 0.910 6.703
As 0.215 2.059 2.204
As -0.150 1.606 11.832
Sc 1.615 0.261 3.664

***

[17]
6
Lattice="0.000 3.840 3.840 3.840 0.000 3.840 3.840 3.840 0.000" Properties=species:S:1:pos:R:3 comment="PBE ScMoAs4, optimized geometry" mass_density_g_cm3=6.5 delta_e_f_ev_per_atom=0.41 total_energy_ev_per_atom=-5.55 crystal_system=cubic magnetic_moment_mub_per_fu=0.901 pbc="T T T"
As 4.797 4.797 2.882
As 2.882 4.797 4.797
Sc 0.000 0.000 0.000
As 2.882 2.882 2.882
As 4.797 2.882 4.797
Mo 5.759 5.759 5.759

***

[18]
4
Lattice="8.669 -0.031 -0.019 8.087 3.122 -0.019 8.087 1.492 2.743" Properties=species:S:1:pos:R:3 comment="PBE ScMoAs2, optimized geometry" mass_density_g_cm3=6.4 delta_e_f_ev_per_atom=-0.06 de_polymorph_ev_per_atom=0.547 total_energy_ev_per_atom=-6.68 crystal_system=trigonal magnetic_moment_mub_per_fu=0.000 pbc="T T T"
As 24.839 4.582 2.705
Mo 12.591 2.322 1.371
As 5.991 1.105 0.652
Sc 18.689 3.447 2.035

***

[19]
4
Lattice="8.757 -0.026 -0.016 8.133 3.247 -0.016 8.133 1.551 2.852" Properties=species:S:1:pos:R:3 comment="PBE Sc2MoAs, optimized geometry" mass_density_g_cm3=5.3 delta_e_f_ev_per_atom=-0.14 total_energy_ev_per_atom=-7.17 crystal_system=trigonal magnetic_moment_mub_per_fu=0.734 pbc="T T T"
Sc 5.884 1.122 0.663
As 12.316 2.348 1.389
Sc 0.256 0.049 0.029
Mo 19.078 3.638 2.151

***

[20]
4
Lattice="2.946 -0.002 0.000 -1.040 2.756 0.000 0.000 0.000 8.473" Properties=species:S:1:pos:R:3 comment="PBE ScMo2As, optimized geometry" mass_density_g_cm3=7.5 delta_e_f_ev_per_atom=-0.03 total_energy_ev_per_atom=-8.19 crystal_system=orthorhombic magnetic_moment_mub_per_fu=0.000 pbc="T T T"
Sc 0.000 0.000 4.281
Mo 0.000 0.000 8.454
As 0.953 1.377 6.438
Mo 0.953 1.377 2.011